Record 1
A plane-wave DFT calculation with PBE-GGA was carried out for a relaxed LiTaPt2 crystal.

**Crystal system**: orthorhombic
**Electronic total energy**: -28.41 eV per cell
**Formation enthalpy at 0 K**: -642 meV/atom
**Magnetization**: 0.000 μB per atom

Cell lengths 2.8634, 3.4197, 6.2284 Å; angles 90.00, 90.00, 90.00 degrees
With the nearest neighbours (Å) after each atom.
Space group Pmmm (No. 47)
Inequivalent atoms, fractional coordinates:
Li  0.0000  0.0000  0.0000  8 Pt 2.67, 2 Li 2.86
Ta  0.0000  0.0000  0.5000  8 Pt 2.77, 2 Ta 2.86
Pt  0.5000  0.5000  0.2361  4 Li 2.67, 4 Ta 2.77, 3 Pt 2.86-2.94

Record 2
A plane-wave DFT calculation with PBE-GGA was carried out for a relaxed LiTaPt2 crystal.

**Crystal system**: monoclinic
**Electronic total energy**: -56.51 eV per cell
**Formation enthalpy at 0 K**: -602 meV/atom
**Magnetization**: 0.000 μB per atom

Cell lengths 9.4818, 2.7908, 4.7992 Å; angles 90.00, 97.97, 90.00 degrees
With the nearest neighbours (Å) after each atom.
Space group Cm (No. 8)
Inequivalent atoms, fractional coordinates:
Li  0.0000  0.0000  0.0000  7 Pt 2.59-2.82, 2 Li 2.79, 1 Ta 2.86
Ta  0.2749  0.5000  0.3390  7 Pt 2.68-2.83, 2 Ta 2.79, 1 Li 2.86
Pt  0.0189  0.5000  0.5148  3 Ta 2.68-2.73, 4 Li 2.74-2.82, 4 Pt 2.79-2.88
Pt  0.2509  0.0000  0.8441  3 Li 2.59-2.76, 4 Ta 2.74-2.83, 4 Pt 2.79-2.88

Record 3
A plane-wave DFT calculation with PBE-GGA was carried out for a relaxed LiTaPt2 crystal.

**Crystal system**: orthorhombic
**Electronic total energy**: -50.34 eV per cell
**Formation enthalpy at 0 K**: 169 meV/atom
**Magnetization**: 0.000 μB per atom

Cell lengths 2.7508, 4.8835, 10.1622 Å; angles 90.00, 90.00, 90.00 degrees
With the nearest neighbours (Å) after each atom.
Space group Immm (No. 71)
Inequivalent atoms, fractional coordinates:
Li  0.0000  0.0000  0.0000  2 Pt 2.60, 2 Li 2.75, 4 Ta 2.80
Ta  0.0000  0.0000  0.5000  2 Pt 2.49, 2 Ta 2.75
Pt  0.0000  0.0000  0.2554  1 Ta 2.49, 1 Li 2.60, 2 Pt 2.75

Record 4
A plane-wave DFT calculation with PBE-GGA was carried out for a relaxed LiTaPt2 crystal.

**Crystal system**: orthorhombic
**Electronic total energy**: -28.37 eV per cell
**Formation enthalpy at 0 K**: -631 meV/atom
**Magnetization**: 0.000 μB per atom

Cell lengths 2.7889, 4.6109, 4.8345 Å; angles 90.00, 90.00, 90.00 degrees
With the nearest neighbours (Å) after each atom.
Space group Pmm2 (No. 25)
Inequivalent atoms, fractional coordinates:
Li  0.0000  0.0000  0.0000  8 Pt 2.70-2.89, 2 Li 2.79, 2 Ta 2.95
Ta  0.0000  0.5000  0.3823  8 Pt 2.72-2.86, 2 Ta 2.79, 2 Li 2.95
Pt  0.5000  0.0000  0.5225  4 Li 2.70-2.89, 4 Ta 2.78, 4 Pt 2.79-2.94
Pt  0.5000  0.5000  0.8997  4 Ta 2.72-2.86, 4 Li 2.74, 4 Pt 2.79-2.94

Record 5
A plane-wave DFT calculation with PBE-GGA was carried out for a relaxed LiTaTcPt2 crystal.

**Crystal system**: tetragonal
**Electronic total energy**: -32.06 eV per cell
**Formation enthalpy at 0 K**: 831 meV/atom
**Magnetization**: 0.207 μB per atom

Cell lengths 4.9520, 4.9520, 4.7042 Å; angles 90.00, 90.00, 90.00 degrees
With the nearest neighbours (Å) after each atom.
Space group P4/mmm (No. 123)
Inequivalent atoms, fractional coordinates:
Li  0.0000  0.0000  0.0000  8 Pt 3.42, 4 Tc 3.50
Ta  0.5000  0.5000  0.5000  2 Tc 2.35, 4 Pt 2.48
Tc  0.5000  0.5000  0.0000  2 Ta 2.35
Pt  0.0000  0.5000  0.5000  2 Ta 2.48

Record 6
A plane-wave DFT calculation with PBE-GGA was carried out for a relaxed LiTa2TePt crystal.

**Formation energy (no corrections)**: 0.93 eV per atom
**Crystal system**: tetragonal
**Electronic total energy**: -30.15 eV per cell
**Magnetization**: 0.000 μB per atom

Cell lengths 4.5305, 4.5305, 4.2680 Å; angles 90.00, 90.00, 90.00 degrees
With the nearest neighbours (Å) after each atom.
Space group P4/mmm (No. 123)
Inequivalent atoms, fractional coordinates:
Li  0.0000  0.0000  0.0000  2 Te 2.13, 4 Ta 2.27
Ta  0.0000  0.5000  0.0000  2 Li 2.27
Te  0.0000  0.0000  0.5000  2 Li 2.13
Pt  0.5000  0.5000  0.5000  8 Ta 3.11, 4 Te 3.20